# 1
{"formula": "ScTi2Os3", "functional": "GGA-PBE", "state": "relaxed", "lattice": [[3.123, 0.000, 0.000], [0.000, 3.123, 0.000], [0.000, 0.000, 9.454]], "species": ["Sc", "Ti", "Ti", "Os", "Os", "Os"], "fractional_positions": [[0.000, 0.000, 0.000], [0.000, 0.000, 0.335], [0.000, 0.000, 0.665], [0.500, 0.500, 0.180], [0.500, 0.500, 0.500], [0.500, 0.500, 0.820]], "energy_ev_per_atom": -9.911, "e_form_ev_per_atom": -0.609, "dos_at_fermi_per_ev_atom": 0.36, "spacegroup": "P4/mmm, No. 123"}

=====

# 2
{"formula": "HoPa2Al", "functional": "GGA-PBE", "state": "relaxed", "lattice": [[1.570, 0.907, 11.452], [-1.570, 0.907, 11.452], [0.000, -1.813, 11.452]], "species": ["Ho", "Pa", "Pa", "Al"], "fractional_positions": [[0.000, 0.000, 0.000], [0.091, 0.091, 0.091], [0.909, 0.909, 0.909], [0.500, 0.500, 0.500]], "energy_ev_per_atom": -6.623, "e_form_ev_per_atom": 0.205, "dos_at_fermi_per_ev_atom": 1.89, "spacegroup": "R-3m, No. 166", "polymorph_energy_mev_per_atom": 234.0}

=====

# 3
{"formula": "La2CeTe", "functional": "GGA-PBE", "state": "relaxed", "lattice": [[3.971, 0.000, 0.000], [0.000, 3.971, 0.000], [0.000, 0.000, 8.353]], "species": ["La", "La", "Ce", "Te"], "fractional_positions": [[0.000, 0.000, 0.224], [0.000, 0.000, 0.776], [0.500, 0.500, 0.500], [0.500, 0.500, 0.000]], "energy_ev_per_atom": -5.300, "raw_formation_energy_ev_per_atom": -0.567, "dos_at_fermi_per_ev_atom": 1.83, "spacegroup": "P4/mmm, No. 123", "polymorph_energy_mev_per_atom": 29.0}